# SmCd4In

A relaxed structure of SmCd4In (PBE-GGA, Alexandria).

- formation energy from the elements (meV/atom) = -225
- E above lowest polymorph (meV/atom) = 0.0
- spin magnetization (μB per formula unit) = 0.00
- calculated density (g/cm³) = 8.0
- SG = Cmcm, No. 63

a = 5.013 Å, b = 6.562 Å, c = 9.547 Å
α = 69.90°, β = 90.00°, γ = 90.01°
Element x y z (fractional)
Cd 0.750 0.539 0.918
Cd 0.750 0.207 0.586
Sm 0.250 0.381 0.738
Cd 0.250 0.957 0.082
Sm 0.750 0.619 0.262
Cd 0.250 0.293 0.414
Cd 0.750 0.043 0.918
Cd 0.250 0.793 0.414
Cd 0.250 0.461 0.082
Cd 0.750 0.707 0.586
In 0.250 0.877 0.746
In 0.750 0.123 0.254